K3Ac3ErO8: relaxed, PBE.

a b c (Å): 7.7062 7.7062 7.7062
angles (deg): 58.42 58.42 58.42
Element x y z (fractional)
K 0.0000 0.5000 0.5000
K 0.5000 0.0000 0.5000
K 0.5000 0.5000 0.0000
Ac 0.0000 0.0000 0.5000
Ac 0.0000 0.5000 0.0000
Ac 0.5000 0.0000 0.0000
Er 0.5000 0.5000 0.5000
O 0.2324 0.2324 0.2324
O 0.2526 0.7129 0.7129
O 0.2871 0.2871 0.7474
O 0.2871 0.7474 0.2871
O 0.7129 0.2526 0.7129
O 0.7129 0.7129 0.2526
O 0.7474 0.2871 0.2871
O 0.7676 0.7676 0.7676

Results
The value obtained for the total moment is 0.91 Bohr magnetons per cell. The raw formation energy is -2593 meV/atom. The calculation puts the total energy at -0.2419 hartree per atom. Its crystal system is trigonal.

K3Ac2ErO6: relaxed, PBE.

a b c (Å): 6.4550 6.4550 6.6782
angles (deg): 99.16 99.16 120.08
Element x y z (fractional)
K 0.0000 0.0000 0.0000
K 0.3420 0.6580 0.0000
K 0.6580 0.3420 0.0000
Ac 0.1671 0.8329 0.5000
Ac 0.8329 0.1671 0.5000
Er 0.5000 0.5000 0.5000
O 0.1281 0.4368 0.3090
O 0.2534 0.2534 0.6897
O 0.4368 0.1281 0.3090
O 0.5632 0.8719 0.6910
O 0.7466 0.7466 0.3103
O 0.8719 0.5632 0.6910

Results
The value obtained for the total moment is 0.00 Bohr magnetons per cell. The raw formation energy is -2620 meV/atom. The calculation puts the total energy at -0.2366 hartree per atom. Its crystal system is monoclinic.